1.
Here is a geometry-optimized HfBPCl2 structure from the Alexandria database. Energies are from PBE.

The calculation puts the calculated volume at 15.92 A^3/atom. Its total magnetic moment is 0.018 μB/f.u. The calculation puts the energy relative to the elements, uncorrected at 0.40 eV/atom.

Unit cell a=4.120 b=4.120 c=4.690 alpha=90.00 beta=90.00 gamma=90.00
Atoms (fractional coordinates):
Hf: 0.000 0.000 0.000
B: 0.500 0.500 0.500
P: 0.500 0.500 0.000
Cl: 0.000 0.500 0.500
Cl: 0.500 0.000 0.500

2.
Here is a geometry-optimized TeBrNF2 structure from the Alexandria database. Energies are from PBE.

The calculation puts the calculated volume at 17.03 A^3/atom. Its total magnetic moment is 1.216 μB/f.u. The calculation puts the energy relative to the elements, uncorrected at 0.76 eV/atom.

Unit cell a=4.347 b=4.347 c=4.506 alpha=90.00 beta=90.00 gamma=90.00
Atoms (fractional coordinates):
Te: 0.000 0.000 0.000
Br: 0.500 0.500 0.500
N: 0.500 0.500 0.000
F: 0.000 0.500 0.500
F: 0.500 0.000 0.500

3.
Here is a geometry-optimized Zr2Co structure from the Alexandria database. Energies are from PBE.

The calculation puts the calculated volume at 20.07 A^3/atom. The calculation puts the energy relative to the elements at -0.07 eV per atom. Its total magnetic moment is 0.000 μB/f.u.

Unit cell a=6.222 b=6.222 c=6.222 alpha=90.00 beta=90.00 gamma=90.00
Atoms (fractional coordinates):
Zr: 0.164 0.164 0.164
Zr: 0.164 0.336 0.664
Zr: 0.336 0.664 0.164
Zr: 0.336 0.836 0.664
Zr: 0.664 0.164 0.336
Zr: 0.664 0.336 0.836
Zr: 0.836 0.664 0.336
Zr: 0.836 0.836 0.836
Co: 0.000 0.000 0.500
Co: 0.000 0.500 0.000
Co: 0.500 0.000 0.000
Co: 0.500 0.500 0.500

4.
Here is a geometry-optimized LiFe2As structure from the Alexandria database. Energies are from PBE.

The calculation puts the calculated volume at 13.54 A^3/atom. The calculation puts the energy relative to the elements at 0.32 eV per atom. Its total magnetic moment is 3.878 μB/f.u.

Unit cell a=8.435 b=8.435 c=8.435 alpha=18.75 beta=18.75 gamma=18.75
Atoms (fractional coordinates):
Li: 0.000 0.000 0.000
Fe: 0.244 0.244 0.244
Fe: 0.756 0.756 0.756
As: 0.500 0.500 0.500